KReHg after structural relaxation. Source: the Alexandria database, functional GGA-PBE. Values from VASP.

Cell and atoms, written as Quantum ESPRESSO input:
```
&SYSTEM
  ibrav = 0, nat = 3, ntyp = 3
/
ATOMIC_SPECIES
Hg 200.59 Hg.upf
K 39.10 K.upf
Re 186.21 Re.upf
ATOMIC_POSITIONS angstrom
Hg 0.623 0.252 0.000
K 3.801 1.534 0.000
Re 6.970 2.813 0.000
CELL_PARAMETERS angstrom
6.677 -0.130 0.000
4.716 4.729 0.000
-5.697 -2.300 2.620
```

Computed properties:
The calculation puts the density of states at the Fermi level at 1.095 states/eV/atom. For the offset from the most stable computed form, the calculation gives 282 meV per atom.

KRe2Hg after structural relaxation. Source: the Alexandria database, functional GGA-PBE. Values from VASP.

Cell and atoms, written as Quantum ESPRESSO input:
```
&SYSTEM
  ibrav = 0, nat = 4, ntyp = 3
/
ATOMIC_SPECIES
Hg 200.59 Hg.upf
K 39.10 K.upf
Re 186.21 Re.upf
ATOMIC_POSITIONS angstrom
Hg -0.937 -4.359 -15.707
K -1.375 -6.397 -23.051
Re -1.816 -8.448 -30.443
Re -0.473 -2.201 -7.930
CELL_PARAMETERS angstrom
-1.178 -1.327 -10.674
1.031 -3.166 -10.296
-1.693 -4.068 -9.883
```

Computed properties:
The calculation puts the density of states at the Fermi level at 0.172 states/eV/atom. As for the uncorrected energy: -5.927 eV/atom.

KRe2Hg after structural relaxation. Source: the Alexandria database, functional GGA-PBE. Values from VASP.

Cell and atoms, written as Quantum ESPRESSO input:
```
&SYSTEM
  ibrav = 0, nat = 4, ntyp = 3
/
ATOMIC_SPECIES
Hg 200.59 Hg.upf
K 39.10 K.upf
Re 186.21 Re.upf
ATOMIC_POSITIONS angstrom
Hg -1.609 -2.166 -1.990
K -2.412 0.576 -1.501
Re 0.000 0.000 0.000
Re -2.116 -1.795 0.840
CELL_PARAMETERS angstrom
-1.905 0.204 -4.331
-1.313 -4.537 0.351
-1.310 3.114 3.319
```

Computed properties:
The calculation puts the density of states at the Fermi level at 1.199 states/eV/atom. As for the uncorrected energy: -5.075 eV/atom.

KReHg4 after structural relaxation. Source: the Alexandria database, functional GGA-PBE. Values from VASP.

Cell and atoms, written as Quantum ESPRESSO input:
```
&SYSTEM
  ibrav = 0, nat = 6, ntyp = 3
/
ATOMIC_SPECIES
K 39.10 K.upf
Re 186.21 Re.upf
Hg 200.59 Hg.upf
ATOMIC_POSITIONS angstrom
K -0.585 -9.013 -6.262
Re 0.000 0.000 0.000
Hg 0.230 -7.457 -3.224
Hg 0.640 -5.777 -5.681
Hg -2.138 -6.301 -4.666
Hg -0.292 -4.500 -3.126
CELL_PARAMETERS angstrom
1.040 -5.888 -0.195
-3.677 -3.587 -3.067
1.856 -2.542 -5.087
```

Computed properties:
The calculation puts the density of states at the Fermi level at 0.466 states/eV/atom. As for the uncorrected energy: -1.644 eV/atom.

KReHg after structural relaxation. Source: the Alexandria database, functional GGA-PBE. Values from VASP.

Cell and atoms, written as Quantum ESPRESSO input:
```
&SYSTEM
  ibrav = 0, nat = 3, ntyp = 3
/
ATOMIC_SPECIES
Hg 200.59 Hg.upf
K 39.10 K.upf
Re 186.21 Re.upf
ATOMIC_POSITIONS angstrom
Hg 0.000 0.000 8.388
K 1.454 0.840 2.908
Re 0.000 1.679 5.817
CELL_PARAMETERS angstrom
2.909 0.000 0.000
-1.454 2.519 0.000
0.000 0.000 8.557
```

Computed properties:
The calculation puts the density of states at the Fermi level at 0.545 states/eV/atom. For the offset from the most stable computed form, the calculation gives 3 meV per atom.

KRe2Hg after structural relaxation. Source: the Alexandria database, functional GGA-PBE. Values from VASP.

Cell and atoms, written as Quantum ESPRESSO input:
```
&SYSTEM
  ibrav = 0, nat = 4, ntyp = 3
/
ATOMIC_SPECIES
Hg 200.59 Hg.upf
K 39.10 K.upf
Re 186.21 Re.upf
ATOMIC_POSITIONS angstrom
Hg 1.403 1.296 2.527
K 4.300 2.186 2.291
Re 3.895 3.253 -0.979
Re 2.760 1.143 -0.320
CELL_PARAMETERS angstrom
-0.091 1.702 5.291
2.036 -1.725 0.590
3.758 3.505 -1.063
```

Computed properties:
The calculation puts the density of states at the Fermi level at 0.723 states/eV/atom. As for the uncorrected energy: -5.328 eV/atom.